Here is crystalline TbPb4F10 at its relaxed geometry from Alexandria via LeMat-Bulk. Energies are from PBE.

total energy = -5.209 eV per atom
space group = I4/m
uncorrected formation energy = -2.66 eV/atom
total moment = 0.000 μB/f.u.
V = 17.52 A^3/atom

a b c (Å): 7.2063 7.2063 7.2063
angles (deg): 100.73 100.73 128.88
Closest atoms and distances in Å follow each position.
Fractional positions:
Tb 0.0000 0.0000 0.0000  8 F 2.34
Pb 0.2002 0.6007 0.8009  8 F 2.57-2.74
Pb 0.3993 0.2002 0.5995  8 F 2.57-2.74
Pb 0.6007 0.7998 0.4005  8 F 2.57-2.74
Pb 0.7998 0.3993 0.1991  8 F 2.57-2.74
F 0.0303 0.1190 0.7185  1 Tb 2.34, 1 Pb 2.57
F 0.1190 0.4004 0.0887  1 Tb 2.34, 1 Pb 2.57
F 0.2500 0.7500 0.5000  4 Pb 2.58
F 0.3118 0.0303 0.9113  1 Tb 2.34, 1 Pb 2.57
F 0.4004 0.3118 0.2815  1 Tb 2.34, 1 Pb 2.57
F 0.5996 0.6882 0.7185  1 Tb 2.34, 1 Pb 2.57
F 0.6882 0.9697 0.0887  1 Tb 2.34, 1 Pb 2.57
F 0.7500 0.2500 0.5000  4 Pb 2.58
F 0.8810 0.5996 0.9113  1 Tb 2.34, 1 Pb 2.57
F 0.9697 0.8810 0.2815  1 Tb 2.34, 1 Pb 2.57